Compound: LaAlGePd
Source: Alexandria via LeMat-Bulk
Functional: PBE
Structure: optimized geometry

calculated formation energy	-75	kJ per mole of atoms

a b c (Å): 4.3036 4.3036 16.1918
angles (deg): 90.00 90.00 120.00
Space group R3m (No. 160, hexagonal axes)
Symmetry-distinct sites (fractional):
La: 0.0000 0.0000 0.0000
Al: 0.0000 0.0000 0.2061
Ge: 0.0000 0.0000 0.7849
Pd: 0.0000 0.0000 0.4988